Record 1
{"formula": "CaY", "functional": "GGA-PBE", "state": "relaxed", "cell": [[-2.441, -0.166, 2.809], [0.382, -3.704, 0.113], [7.894, 1.024, 6.922]], "species": ["Y", "Y", "Ca", "Ca"], "fractional_positions": [[0.000, 0.500, 0.607], [0.500, 0.000, 0.393], [0.000, 0.500, 0.139], [0.500, 0.000, 0.861]], "sg": "P4/nmm, No. 129", "polymorph_energy_ev_per_fu": 0.003, "volume_a3_per_atom": 36.59, "dft_energy_ev_per_atom": -4.18, "ef_ev_per_fu": 0.100, "density_g_cm3": 2.93}



Record 2
{"formula": "TaPBr2", "functional": "GGA-PBE", "state": "relaxed", "cell": [[-7.692, 3.407, -1.622], [-7.841, 0.666, -3.388], [-2.269, -1.619, 2.704]], "species": ["Br", "Br", "Ta", "P"], "fractional_positions": [[0.892, 0.892, 0.109], [0.608, 0.608, 0.391], [0.250, 0.250, 0.250], [0.750, 0.750, 0.750]], "sg": "Immm, No. 71", "polymorph_energy_ev_per_fu": 0.760, "volume_a3_per_atom": 25.93, "dft_energy_ev_per_atom": -5.38, "density_g_cm3": 5.95, "raw_formation_energy_ev_per_atom": -0.230}



Record 3
{"formula": "LuAgPd2", "functional": "GGA-PBE", "state": "relaxed", "cell": [[-0.595, 4.505, 1.104], [-2.998, 1.203, 3.382], [1.606, 1.642, 4.074]], "species": ["Lu", "Pd", "Pd", "Ag"], "fractional_positions": [[0.000, 0.000, 0.000], [0.750, 0.750, 0.750], [0.250, 0.250, 0.250], [0.500, 0.500, 0.500]], "sg": "Fm-3m, No. 225", "polymorph_energy_ev_per_fu": 0.304, "volume_a3_per_atom": 18.08, "dft_energy_ev_per_atom": -5.11, "ef_ev_per_fu": -2.677, "density_g_cm3": 11.38}



- Number 3 is which compound?
  LuAgPd2